Here is a geometry-optimized AcUHgO6 structure from Alexandria. Energies are from GGA-PBE.

a b c (Å): 5.354 5.354 10.771
angles (deg): 90.00 90.00 90.00
Atoms (fractional coordinates):
Ac 0.000 0.000 0.000
Ac 0.500 0.500 0.500
U 0.000 0.000 0.661
U 0.500 0.500 0.161
Hg 0.000 0.000 0.326
Hg 0.500 0.500 0.826
O 0.175 0.175 0.511
O 0.181 0.181 0.801
O 0.220 0.220 0.169
O 0.280 0.720 0.669
O 0.319 0.681 0.301
O 0.325 0.675 0.011
O 0.675 0.325 0.011
O 0.681 0.319 0.301
O 0.720 0.280 0.669
O 0.780 0.780 0.169
O 0.819 0.819 0.801
O 0.825 0.825 0.511

Output
V: 17.2 A^3/atom
Energy: -7.326 eV/atom
ρ: 8.19 g cm⁻³
Raw formation energy: -2.28 eV per atom

Here is a geometry-optimized YPaAgOs structure from Alexandria. Energies are from GGA-PBE.

a b c (Å): 7.041 7.041 7.041
angles (deg): 90.00 90.00 90.00
Atoms (fractional coordinates):
Y 0.000 0.000 0.000
Y 0.000 0.500 0.500
Y 0.500 0.000 0.500
Y 0.500 0.500 0.000
Pa 0.000 0.000 0.500
Pa 0.000 0.500 0.000
Pa 0.500 0.000 0.000
Pa 0.500 0.500 0.500
Ag 0.250 0.250 0.750
Ag 0.250 0.750 0.250
Ag 0.750 0.250 0.250
Ag 0.750 0.750 0.750
Os 0.250 0.250 0.250
Os 0.250 0.750 0.750
Os 0.750 0.250 0.750
Os 0.750 0.750 0.250

Output
Energy of formation from the pure elements: -0.0613 eV per atom
V: 21.8 A^3/atom
Energy: -7.572 eV/atom
ρ: 11.76 g cm⁻³

Here is a geometry-optimized Tm8CdCu2 structure from Alexandria. Energies are from GGA-PBE.

a b c (Å): 7.941 7.941 5.313
angles (deg): 98.68 98.68 114.92
Atoms (fractional coordinates):
Tm 0.082 0.333 0.592
Tm 0.239 0.761 0.000
Tm 0.333 0.082 0.592
Tm 0.391 0.391 0.196
Tm 0.609 0.609 0.804
Tm 0.667 0.918 0.408
Tm 0.761 0.239 0.000
Tm 0.918 0.667 0.408
Cd 0.000 0.000 0.000
Cu 0.307 0.693 0.500
Cu 0.693 0.307 0.500

Output
Energy of formation from the pure elements: -0.0320 eV per atom
V: 26.5 A^3/atom
Energy: -4.112 eV/atom
ρ: 9.06 g cm⁻³

Here is a geometry-optimized InMo4W structure from Alexandria. Energies are from GGA-PBE.

a b c (Å): 5.252 5.252 5.252
angles (deg): 60.00 60.00 60.00
Atoms (fractional coordinates):
In 0.000 0.000 0.000
Mo 0.125 0.625 0.625
Mo 0.625 0.125 0.625
Mo 0.625 0.625 0.125
Mo 0.625 0.625 0.625
W 0.250 0.250 0.250

Output
Energy of formation from the pure elements: 0.3222 eV per atom
V: 17.1 A^3/atom
Energy: -9.514 eV/atom
ρ: 11.06 g cm⁻³